DyYTe: relaxed, PBE. Values from VASP.

* symmetry: P3m1
* E: -5.227 eV/atom
* volume: 30.6 Å³ per atom
* DOS at the Fermi energy: 2.18 states/eV/f.u.
* energy above the lowest structure with this stoichiometry: 0.376 eV/atom

Structure (Quantum ESPRESSO input):
```
&SYSTEM
  ibrav = 0, nat = 3, ntyp = 3
/
ATOMIC_SPECIES
Y 88.91 Y.upf
Te 127.60 Te.upf
Dy 162.50 Dy.upf
ATOMIC_POSITIONS angstrom
Y -2.734 -2.221 -1.324
Te -1.294 -2.635 1.420
Dy -0.350 0.024 0.062
CELL_PARAMETERS angstrom
-3.933 0.271 0.693
-0.956 -2.029 -4.636
0.511 -3.073 4.101
```